*w*
Here is a geometry-optimized SrV3Ge structure from the Alexandria database. Energies are from PBE.

Values from the calculation:
N(E_F) in states/eV per cell: 5.53
Total magnetization in μB/atom: 2.0474

Unit cell a=4.9418 b=4.9418 c=4.9418 alpha=90.00 beta=90.00 gamma=90.00
Last column: nearest neighbours and their distance in Å.
Space group Pm-3m (No. 221)
Asymmetric unit:
1 Sr 0.0000 0.0000 0.0000 [1 per cell]  12 V 3.49
2 V 0.0000 0.5000 0.5000 [3 per cell]  2 Ge 2.47
3 Ge 0.5000 0.5000 0.5000 [1 per cell]  6 V 2.47


*x*
Here is a geometry-optimized SrV3Ge structure from the Alexandria database. Energies are from PBE.

Values from the calculation:
N(E_F) in states/eV per cell: 8.56
Total magnetization in μB/atom: 0.0001

Unit cell a=4.5797 b=4.5797 c=4.5797 alpha=90.00 beta=90.00 gamma=90.00
Last column: nearest neighbours and their distance in Å.
Space group Pm-3m (No. 221)
Asymmetric unit:
1 Sr 0.0000 0.0000 0.0000 [1 per cell]  6 V 2.29
2 V 0.0000 0.0000 0.5000 [3 per cell]  2 Sr 2.29
3 Ge 0.5000 0.5000 0.5000 [1 per cell]  12 V 3.24


Quick one: most stable of them? *w*


*w*
Here is a geometry-optimized Sr2Y2Ge structure from the Alexandria database. Energies are from PBE.

Values from the calculation:
N(E_F) in states/eV per cell: 11.20
Total magnetization in μB/atom: 0.0000

Unit cell a=7.8273 b=7.8273 c=6.0478 alpha=90.00 beta=90.00 gamma=90.00
Last column: nearest neighbours and their distance in Å.
Space group P4/mbm (No. 127)
Asymmetric unit:
1 Sr 0.1662 0.3338 0.0000 [4 per cell]  6 Y 3.59-3.96, 1 Sr 3.68
2 Y 0.1595 0.6595 0.5000 [4 per cell]  2 Ge 2.94
3 Ge 0.0000 0.0000 0.5000 [2 per cell]  4 Y 2.94


*x*
Here is a geometry-optimized Sr2Y2Ge structure from the Alexandria database. Energies are from PBE.

Values from the calculation:
N(E_F) in states/eV per cell: 10.94
Total magnetization in μB/atom: 0.1319

Unit cell a=8.0990 b=8.0990 c=5.6969 alpha=90.00 beta=90.00 gamma=90.00
Last column: nearest neighbours and their distance in Å.
Space group P4/mbm (No. 127)
Asymmetric unit:
1 Sr 0.1536 0.3464 0.0000 [4 per cell]  2 Ge 3.07
2 Y 0.1560 0.6560 0.5000 [4 per cell]  1 Y 3.57, 6 Sr 3.59-3.79
3 Ge 0.0000 0.0000 0.0000 [2 per cell]  4 Sr 3.07


Quick one: most stable of them? *w*